A relaxed structure of ZrSnPt3, computed with PBE.

Cell and atoms, written as POSCAR:
```
ZrSnPt3
1.0
-1.086 4.872 0.480
-1.540 -0.807 4.703
4.647 0.872 1.671
Zr Sn Pt
1 1 3
Direct
0.000 0.000 0.000
0.500 0.500 0.500
0.000 0.500 0.000
0.000 0.000 0.500
0.500 0.000 0.000
```

Calculated values
formation enthalpy at 0 K: 0.46 eV/atom
relative energy among the computed polymorphs: 0.000 eV/atom
crystal system: cubic
volume: 126 Å³ per cell
DOS(E_F): 2.24 states/eV/f.u.
spin magnetization: 0.000 μB per cell

=====

A relaxed structure of ZrSn2Pt, computed with PBE.

Cell and atoms, written as POSCAR:
```
ZrSn2Pt
1.0
3.293 0.000 0.000
1.647 2.852 0.000
1.647 0.951 9.968
Zr Sn Pt
1 2 1
Direct
0.000 0.000 0.000
0.099 0.099 0.704
0.901 0.901 0.296
0.500 0.500 0.500
```

Calculated values
formation enthalpy at 0 K: -0.04 eV/atom
crystal system: trigonal
volume: 94 Å³ per cell
DOS(E_F): 3.90 states/eV/f.u.
spin magnetization: 0.000 μB per cell

=====

A relaxed structure of ZrSn2Pt, computed with PBE.

Cell and atoms, written as POSCAR:
```
ZrSn2Pt
1.0
7.793 0.000 0.000
0.000 7.793 0.000
3.897 3.897 2.978
Zr Sn Pt
2 4 2
Direct
0.500 0.500 0.000
0.250 0.750 0.500
0.663 0.125 0.250
0.087 0.625 0.250
0.375 0.337 0.750
0.875 0.913 0.750
0.000 0.000 0.000
0.750 0.250 0.500
```

Calculated values
formation enthalpy at 0 K: -0.30 eV/atom
crystal system: tetragonal
volume: 181 Å³ per cell
DOS(E_F): 2.07 states/eV/f.u.
spin magnetization: 0.000 μB per cell

=====

A relaxed structure of Zr2SnPt, computed with PBE.

Cell and atoms, written as POSCAR:
```
Zr2SnPt
1.0
3.160 0.000 0.000
0.000 3.160 0.000
0.000 0.000 8.213
Zr Sn Pt
2 1 1
Direct
0.000 0.000 0.776
0.000 0.000 0.224
0.500 0.500 0.500
0.500 0.500 0.000
```

Calculated values
formation enthalpy at 0 K: -0.67 eV/atom
crystal system: tetragonal
volume: 82 Å³ per cell
DOS(E_F): 2.91 states/eV/f.u.
spin magnetization: 0.000 μB per cell

=====

A relaxed structure of Zr2SnPt, computed with PBE.

Cell and atoms, written as POSCAR:
```
Zr2SnPt
1.0
-0.013 -1.962 3.369
3.355 -1.263 1.533
1.781 4.984 5.164
Zr Sn Pt
2 1 1
Direct
0.260 0.260 0.219
0.740 0.740 0.781
0.500 0.500 0.500
0.000 0.000 0.000
```

Calculated values
formation enthalpy at 0 K: -0.48 eV/atom
crystal system: trigonal
volume: 93 Å³ per cell
DOS(E_F): 3.27 states/eV/f.u.
spin magnetization: 0.000 μB per cell

=====

A relaxed structure of ZrSn2Pt9, computed with PBE.

Cell and atoms, written as POSCAR:
```
ZrSn2Pt9
1.0
4.057 0.000 0.000
0.000 4.057 0.000
0.000 0.000 12.182
Zr Sn Pt
1 2 9
Direct
0.000 0.000 0.000
0.000 0.000 0.334
0.000 0.000 0.666
0.500 0.500 0.000
0.500 0.500 0.333
0.500 0.500 0.667
0.500 0.000 0.164
0.500 0.000 0.500
0.500 0.000 0.836
0.000 0.500 0.164
0.000 0.500 0.500
0.000 0.500 0.836
```

Calculated values
formation enthalpy at 0 K: -0.62 eV/atom
crystal system: tetragonal
volume: 200 Å³ per cell
DOS(E_F): 2.91 states/eV/f.u.
spin magnetization: 0.000 μB per cell

=====

A relaxed structure of Zr8Sn2Pt, computed with PBE.

Cell and atoms, written as POSCAR:
```
Zr8Sn2Pt
1.0
4.766 0.000 0.000
0.000 5.903 -0.151
-2.383 -2.614 9.041
Zr Sn Pt
8 2 1
Direct
0.412 0.505 0.824
0.649 0.037 0.297
0.769 0.663 0.537
0.975 0.231 0.949
0.231 0.337 0.463
0.351 0.963 0.703
0.588 0.495 0.176
0.025 0.769 0.051
0.818 0.231 0.637
0.182 0.769 0.363
0.500 0.000 0.000
```

Calculated values
formation enthalpy at 0 K: -0.33 eV/atom
crystal system: monoclinic
volume: 252 Å³ per cell
DOS(E_F): 12.39 states/eV/f.u.
spin magnetization: 0.000 μB per cell

=====

A relaxed structure of Zr2SnPt2, computed with PBE.

Cell and atoms, written as POSCAR:
```
Zr2SnPt2
1.0
-2.378 -2.647 -2.967
3.897 -2.239 -1.125
-0.145 -5.956 1.812
Zr Sn Pt
2 1 2
Direct
0.750 0.250 0.500
0.250 0.750 0.500
0.000 0.000 0.000
0.378 0.378 0.244
0.622 0.622 0.756
```

Calculated values
formation enthalpy at 0 K: -0.64 eV/atom
crystal system: tetragonal
volume: 114 Å³ per cell
DOS(E_F): 2.95 states/eV/f.u.
spin magnetization: 0.000 μB per cell

=====

A relaxed structure of ZrSnPt, computed with PBE.

Cell and atoms, written as POSCAR:
```
ZrSnPt
1.0
-2.642 1.783 -0.554
-2.167 -3.721 -1.637
-0.250 1.024 4.484
Zr Sn Pt
1 1 1
Direct
0.667 0.333 0.667
0.167 0.000 0.000
0.167 0.667 0.333
```

Calculated values
formation enthalpy at 0 K: -0.76 eV/atom
crystal system: hexagonal
volume: 59 Å³ per cell
DOS(E_F): 1.93 states/eV/f.u.
spin magnetization: 0.000 μB per cell

=====

A relaxed structure of Zr3SnPt, computed with PBE.

Cell and atoms, written as POSCAR:
```
Zr3SnPt
1.0
5.144 0.000 0.000
0.000 5.144 0.000
0.000 0.000 5.144
Zr Sn Pt
3 1 1
Direct
0.000 0.500 0.000
0.000 0.000 0.500
0.500 0.000 0.000
0.500 0.500 0.500
0.000 0.000 0.000
```

Calculated values
formation enthalpy at 0 K: -0.06 eV/atom
relative energy among the computed polymorphs: 0.000 eV/atom
crystal system: cubic
volume: 136 Å³ per cell
DOS(E_F): 2.94 states/eV/f.u.
spin magnetization: 0.000 μB per cell

=====

A relaxed structure of Zr2Sn2Pt, computed with PBE.

Cell and atoms, written as POSCAR:
```
Zr2Sn2Pt
1.0
7.152 0.000 0.000
0.000 7.152 0.000
0.000 0.000 4.551
Zr Sn Pt
4 4 2
Direct
0.337 0.837 0.000
0.837 0.663 0.000
0.663 0.163 0.000
0.163 0.337 0.000
0.148 0.648 0.500
0.648 0.852 0.500
0.852 0.352 0.500
0.352 0.148 0.500
0.000 0.000 0.000
0.500 0.500 0.000
```

Calculated values
formation enthalpy at 0 K: -0.34 eV/atom
relative energy among the computed polymorphs: 0.157 eV/atom
crystal system: tetragonal
volume: 233 Å³ per cell
DOS(E_F): 2.87 states/eV/f.u.
spin magnetization: 0.000 μB per cell

=====

A relaxed structure of ZrSn2Pt, computed with PBE.

Cell and atoms, written as POSCAR:
```
ZrSn2Pt
1.0
0.000 3.459 3.459
3.459 0.000 3.459
3.459 3.459 0.000
Zr Sn Pt
1 2 1
Direct
0.000 0.000 0.000
0.250 0.250 0.250
0.750 0.750 0.750
0.500 0.500 0.500
```

Calculated values
formation enthalpy at 0 K: -0.20 eV/atom
crystal system: cubic
volume: 83 Å³ per cell
DOS(E_F): 3.17 states/eV/f.u.
spin magnetization: 0.529 μB per cell

=====

A relaxed structure of Zr2SnPt, computed with PBE.

Cell and atoms, written as POSCAR:
```
Zr2SnPt
1.0
7.707 0.000 0.000
0.000 7.707 0.000
3.854 3.854 3.025
Zr Sn Pt
4 2 2
Direct
0.657 0.125 0.250
0.093 0.625 0.250
0.375 0.343 0.750
0.875 0.907 0.750
0.500 0.500 0.000
0.250 0.750 0.500
0.000 0.000 0.000
0.750 0.250 0.500
```

Calculated values
formation enthalpy at 0 K: -0.41 eV/atom
crystal system: tetragonal
volume: 180 Å³ per cell
DOS(E_F): 4.13 states/eV/f.u.
spin magnetization: 0.000 μB per cell

=====

A relaxed structure of ZrSnPt, computed with PBE.

Cell and atoms, written as POSCAR:
```
ZrSnPt
1.0
3.367 0.000 0.000
0.000 3.367 0.000
-1.683 -1.683 5.473
Zr Sn Pt
1 1 1
Direct
0.305 0.305 0.610
0.607 0.607 0.214
0.938 0.938 0.876
```

Calculated values
formation enthalpy at 0 K: -0.63 eV/atom
crystal system: tetragonal
volume: 62 Å³ per cell
DOS(E_F): 2.46 states/eV/f.u.
spin magnetization: 0.000 μB per cell

=====

A relaxed structure of ZrSn3Pt12, computed with PBE.

Cell and atoms, written as POSCAR:
```
ZrSn3Pt12
1.0
-2.775 -2.508 -1.560
0.443 -2.469 3.183
-11.729 8.067 7.894
Zr Sn Pt
1 3 12
Direct
0.000 0.000 0.000
0.000 0.000 0.250
0.000 0.000 0.500
0.000 0.000 0.750
0.500 0.500 0.000
0.500 0.500 0.250
0.500 0.500 0.500
0.500 0.500 0.750
0.500 0.000 0.123
0.500 0.000 0.375
0.500 0.000 0.625
0.500 0.000 0.877
0.000 0.500 0.123
0.000 0.500 0.375
0.000 0.500 0.625
0.000 0.500 0.877
```

Calculated values
formation enthalpy at 0 K: -0.56 eV/atom
crystal system: tetragonal
volume: 267 Å³ per cell
DOS(E_F): 3.49 states/eV/f.u.
spin magnetization: 0.000 μB per cell

=====

A relaxed structure of Zr6SnPt, computed with PBE.

Cell and atoms, written as POSCAR:
```
Zr6SnPt
1.0
-1.640 7.266 2.423
-6.377 3.677 -2.681
-4.378 2.453 2.341
Zr Sn Pt
6 1 1
Direct
0.001 0.499 0.744
0.757 0.000 0.744
0.501 0.243 0.256
0.243 0.000 0.256
0.999 0.501 0.256
0.499 0.757 0.744
0.500 0.500 0.500
0.000 0.000 0.000
```

Calculated values
formation enthalpy at 0 K: -0.48 eV/atom
crystal system: trigonal
volume: 170 Å³ per cell
DOS(E_F): 9.54 states/eV/f.u.
spin magnetization: 0.000 μB per cell

=====

A relaxed structure of ZrSn2Pt2, computed with PBE.

Cell and atoms, written as POSCAR:
```
ZrSn2Pt2
1.0
-4.877 -3.816 -4.227
3.114 -6.447 2.227
-2.283 -0.147 2.767
Zr Sn Pt
2 4 4
Direct
0.000 0.000 0.000
0.500 0.500 0.000
0.172 0.672 0.500
0.672 0.828 0.500
0.828 0.328 0.500
0.328 0.172 0.500
0.370 0.870 0.000
0.870 0.630 0.000
0.630 0.130 0.000
0.130 0.370 0.000
```

Calculated values
formation enthalpy at 0 K: -0.46 eV/atom
crystal system: tetragonal
volume: 202 Å³ per cell
DOS(E_F): 5.15 states/eV/f.u.
spin magnetization: 0.000 μB per cell

=====

A relaxed structure of Zr2Sn2Pt, computed with PBE.

Cell and atoms, written as POSCAR:
```
Zr2Sn2Pt
1.0
-0.866 -1.336 6.767
5.397 -4.378 -0.173
2.752 3.353 1.014
Zr Sn Pt
4 4 2
Direct
0.164 0.664 0.500
0.664 0.836 0.500
0.836 0.336 0.500
0.336 0.164 0.500
0.357 0.857 0.000
0.857 0.643 0.000
0.643 0.143 0.000
0.143 0.357 0.000
0.000 0.000 0.000
0.500 0.500 0.000
```

Calculated values
formation enthalpy at 0 K: -0.50 eV/atom
relative energy among the computed polymorphs: 0.000 eV/atom
crystal system: tetragonal
volume: 215 Å³ per cell
DOS(E_F): 3.64 states/eV/f.u.
spin magnetization: 0.000 μB per cell

=====

A relaxed structure of ZrSnPt3, computed with PBE.

Cell and atoms, written as POSCAR:
```
ZrSnPt3
1.0
-3.756 2.375 2.000
1.336 -1.597 4.406
2.803 3.944 0.580
Zr Sn Pt
1 1 3
Direct
0.500 0.500 0.500
0.000 0.000 0.000
0.000 0.500 0.000
0.000 0.000 0.500
0.500 0.000 0.000
```

Calculated values
formation enthalpy at 0 K: 0.51 eV/atom
relative energy among the computed polymorphs: 0.049 eV/atom
crystal system: cubic
volume: 116 Å³ per cell
DOS(E_F): 3.82 states/eV/f.u.
spin magnetization: 0.000 μB per cell

=====

A relaxed structure of Zr4Sn2Pt, computed with PBE.

Cell and atoms, written as POSCAR:
```
Zr4Sn2Pt
1.0
4.954 0.000 0.000
0.000 4.954 0.000
2.477 2.477 7.664
Zr Sn Pt
4 2 1
Direct
0.827 0.827 0.346
0.173 0.173 0.654
0.000 0.500 0.000
0.500 0.000 0.000
0.636 0.636 0.729
0.364 0.364 0.271
0.000 0.000 0.000
```

Calculated values
formation enthalpy at 0 K: -0.06 eV/atom
crystal system: tetragonal
volume: 188 Å³ per cell
DOS(E_F): 3.88 states/eV/f.u.
spin magnetization: 0.000 μB per cell